This record from Alexandria via LeMat-Bulk describes a relaxed structure of Rb3LiCe2O6. The functional is PBE-GGA.

abc: 6.121 10.762 6.794
angles: 90.00 106.75 90.00
Space group C2/m (No. 12)
Inequivalent atoms, fractional coordinates:
Rb  0.000  0.000  0.000 [2 per cell]
Rb  0.000  0.344  0.000 [4 per cell]
Li  0.000  0.500  0.500 [2 per cell]
Ce  0.000  0.166  0.500 [4 per cell]
O  0.202  0.000  0.673 [4 per cell]
O  0.244  0.317  0.683 [8 per cell]

Output
Density of states at the Fermi level: 0.0 states/eV/f.u.
Uncorrected formation energy: -2398 meV per atom
Spin magnetization: 0.000 μB/atom
Total DFT energy (no corrections): -6.268 eV per atom